1.
BeOs2PbO8 | PBE-GGA | optimized geometry

Computed properties:
Fermi-level density of states   0.13 states/eV per atom
Raw formation energy   -11.91 eV per formula unit
Calculated total energy   -81.5 eV/cell
V   14.20 Å³/atom
Space group   P-3 (147)

abc: 5.3444 5.3444 6.8903
angles: 90.00 90.00 120.00
Closest atoms and distances in Å follow each position.
Fractional positions:
Be  0.0000  0.0000  0.0000  6 O 1.85
Os  0.3333  0.6667  0.2110  4 O 1.81
Os  0.6667  0.3333  0.7890  4 O 1.81
Pb  0.0000  0.0000  0.5000  6 O 2.74
O  0.0538  0.2976  0.1634  1 Os 1.81, 1 Be 1.85
O  0.2438  0.9462  0.1634  1 Os 1.81, 1 Be 1.85
O  0.2976  0.2438  0.8366  1 Os 1.81, 1 Be 1.85
O  0.3333  0.6667  0.4734  1 Os 1.81
O  0.6667  0.3333  0.5266  1 Os 1.81
O  0.7024  0.7562  0.1634  1 Os 1.81, 1 Be 1.85
O  0.7562  0.0538  0.8366  1 Os 1.81, 1 Be 1.85
O  0.9462  0.7024  0.8366  1 Os 1.81, 1 Be 1.85

=====

2.
Ce2IrRh | PBE-GGA | optimized geometry

Computed properties:
Fermi-level density of states   1.14 states/eV per atom
Calculated total energy   -123.6 eV/cell
V   23.02 Å³/atom
Space group   C2/c (15)

abc: 8.9982 8.9982 6.9635
angles: 104.96 104.96 126.88
Closest atoms and distances in Å follow each position.
Fractional positions:
Ce  0.0611  0.4355  0.2514  3 Ir 2.84, 3 Rh 2.85
Ce  0.1865  0.3121  0.7486  3 Ir 2.83-2.84, 3 Rh 2.85-2.86
Ce  0.3121  0.1865  0.2486  3 Ir 2.83-2.84, 3 Rh 2.85-2.86
Ce  0.4355  0.0611  0.7514  3 Ir 2.84, 3 Rh 2.85
Ce  0.5645  0.9389  0.2486  3 Ir 2.84, 3 Rh 2.85
Ce  0.6879  0.8135  0.7514  3 Ir 2.83-2.84, 3 Rh 2.85-2.86
Ce  0.8135  0.6879  0.2514  3 Ir 2.83-2.84, 3 Rh 2.85-2.86
Ce  0.9389  0.5645  0.7486  3 Ir 2.84, 3 Rh 2.85
Ir  0.0614  0.9386  0.7500  6 Ce 2.83-2.84
Ir  0.3130  0.6870  0.7500  6 Ce 2.84
Ir  0.6870  0.3130  0.2500  6 Ce 2.84
Ir  0.9386  0.0614  0.2500  6 Ce 2.83-2.84
Rh  0.1887  0.8113  0.2500  6 Ce 2.85-2.86
Rh  0.4368  0.5632  0.2500  6 Ce 2.85-2.86
Rh  0.5632  0.4368  0.7500  6 Ce 2.85-2.86
Rh  0.8113  0.1887  0.7500  6 Ce 2.85-2.86

=====

3.
ZrVSi2 | PBE-GGA | optimized geometry

Computed properties:
Fermi-level density of states   1.30 states/eV per atom
Raw formation energy   -0.56 eV per formula unit
Calculated total energy   -29.1 eV/cell
V   15.96 Å³/atom
Space group   Fm-3m (225)

abc: 4.4862 4.4862 4.4862
angles: 60.00 60.00 60.00
Closest atoms and distances in Å follow each position.
Fractional positions:
Zr  0.0000  0.0000  0.0000  8 Si 2.75
V  0.5000  0.5000  0.5000  8 Si 2.75
Si  0.2500  0.2500  0.2500  4 Zr 2.75, 4 V 2.75
Si  0.7500  0.7500  0.7500  4 Zr 2.75, 4 V 2.75

=====

no.,mass density (kg/m³)
1,7060
2,10377
3,5158